{"formula": "BaBeW2", "functional": "PBE-GGA", "state": "optimized geometry", "formation_energy_ev_per_atom": 1.10, "lattice": [[6.228, 0.002, -0.002], [3.663, 5.037, 0.002], [-4.286, -3.814, 2.424]], "species": ["Be", "W", "W", "Ba"], "frac_coords": [[0.250, 0.750, 0.500], [0.049, 0.049, 0.000], [0.451, 0.451, 0.000], [0.750, 0.250, 0.500]]}

{"formula": "Sr2HfSn", "functional": "PBE-GGA", "state": "optimized geometry", "formation_energy_ev_per_atom": 0.47, "lattice": [[-0.584, 2.118, -8.960], [7.650, -4.884, -1.653], [1.762, -3.987, -5.807]], "species": ["Sr", "Sn", "Hf", "Sr", "Hf", "Sr", "Sn", "Sr"], "frac_coords": [[0.602, 0.125, 0.250], [0.250, 0.750, 0.500], [0.750, 0.250, 0.500], [0.148, 0.625, 0.250], [0.000, 0.000, 0.000], [0.375, 0.398, 0.750], [0.500, 0.500, 0.000], [0.875, 0.852, 0.750]]}

{"formula": "TaV2Mo2", "functional": "PBE-GGA", "state": "optimized geometry", "formation_energy_ev_per_atom": 0.29, "polymorph_energy_mev_per_atom": 404, "lattice": [[4.605, 0.000, 0.000], [0.000, 3.031, 0.000], [-2.302, -1.516, 11.477]], "species": ["Mo", "Mo", "V", "V", "Ta", "Mo", "Mo", "V", "V", "Ta"], "frac_coords": [[0.264, 0.014, 0.528], [0.736, 0.986, 0.472], [0.957, 0.207, 0.914], [0.458, 0.708, 0.916], [0.149, 0.399, 0.298], [0.372, 0.122, 0.744], [0.628, 0.878, 0.256], [0.542, 0.292, 0.084], [0.043, 0.793, 0.086], [0.851, 0.601, 0.702]]}

{"formula": "Zn6Cu5Au", "functional": "PBE-GGA", "state": "optimized geometry", "formation_energy_ev_per_atom": -0.10, "polymorph_energy_mev_per_atom": 0, "lattice": [[7.908, -0.042, 0.000], [2.124, 3.411, 0.000], [1.062, 1.705, 6.047]], "species": ["Cu", "Zn", "Zn", "Cu", "Cu", "Cu", "Zn", "Zn", "Zn", "Cu", "Zn", "Au"], "frac_coords": [[0.500, 0.166, 0.669], [0.258, 0.573, 0.342], [0.737, 0.764, 0.000], [0.500, 0.500, 0.000], [0.000, 0.671, 0.659], [0.000, 0.329, 0.341], [0.742, 0.427, 0.658], [0.263, 0.236, 0.000], [0.742, 0.086, 0.342], [0.500, 0.834, 0.331], [0.258, 0.914, 0.658], [0.000, 0.000, 0.000]]}

{"formula": "TlAgTe4As2", "functional": "PBE-GGA", "state": "optimized geometry", "formation_energy_uncorrected_kcal_per_mol_atoms": 2.1, "lattice": [[6.681, 0.000, 0.000], [3.341, 6.068, -0.038], [3.341, 0.460, 6.051]], "species": ["As", "Te", "Te", "Ag", "Tl", "As", "Te", "Te"], "frac_coords": [[0.148, 0.352, 0.352], [0.108, 0.931, 0.490], [0.892, 0.510, 0.069], [0.500, 0.500, 0.500], [0.000, 0.000, 0.000], [0.852, 0.648, 0.648], [0.471, 0.490, 0.931], [0.529, 0.069, 0.510]]}

{"formula": "ThInCo", "functional": "PBE-GGA", "state": "optimized geometry", "formation_energy_ev_per_atom": -0.34, "lattice": [[3.801, 0.000, 0.000], [0.000, 7.732, 0.000], [0.000, 0.000, 13.211]], "species": ["In", "Th", "In", "Co", "Th", "In", "Co", "Th", "In", "Co", "Co", "Co", "In", "In", "Th", "Th", "Th", "Co"], "frac_coords": [[0.500, 0.563, 0.623], [0.000, 0.218, 0.957], [0.500, 0.198, 0.750], [0.500, 0.071, 0.402], [0.000, 0.782, 0.043], [0.500, 0.437, 0.123], [0.000, 0.440, 0.750], [0.000, 0.218, 0.543], [0.500, 0.802, 0.250], [0.500, 0.071, 0.098], [0.500, 0.929, 0.902], [0.500, 0.929, 0.598], [0.500, 0.437, 0.377], [0.500, 0.563, 0.877], [0.000, 0.782, 0.457], [0.000, 0.144, 0.250], [0.000, 0.856, 0.750], [0.000, 0.560, 0.250]]}

Density of states at the Fermi level values, unit states/eV/cell, following the record order: 3.11, 7.28, 10.89, 2.90, 4.26, 14.71.